Entry 1:
Computed, not measured: a geometry-optimized Sc2TiAuC structure at the PBE level of DFT.

Output
* M_tot: 0.0 μB/cell
* SG: P4/mmm
* theoretical density: 6.8 g/cm³
* ΔE_f: -0.6048 eV/atom

abc: 4.523 4.523 4.133
angles: 90.00 90.00 90.00
Element x y z (fractional)
Sc: 0.000 0.500 0.000
Sc: 0.500 0.000 0.000
Ti: 0.000 0.000 0.500
Au: 0.500 0.500 0.500
C: 0.000 0.000 0.000

Entry 2:
Computed, not measured: a geometry-optimized TmSc2AuC structure at the PBE level of DFT.

Output
* M_tot: 0.0 μB/cell
* SG: P4/mmm
* theoretical density: 8.0 g/cm³
* ΔE_f: -0.5968 eV/atom

abc: 4.443 4.443 4.890
angles: 90.00 90.00 90.00
Element x y z (fractional)
Tm: 0.000 0.000 0.000
Sc: 0.000 0.500 0.500
Sc: 0.500 0.000 0.500
Au: 0.500 0.500 0.000
C: 0.000 0.000 0.500

Entry 3:
Computed, not measured: a geometry-optimized Sc2VAuC structure at the PBE level of DFT.

Output
* M_tot: 1.5 μB/cell
* SG: P4/mmm
* theoretical density: 7.1 g/cm³
* ΔE_f: -0.5141 eV/atom

abc: 4.555 4.555 3.950
angles: 90.00 90.00 90.00
Element x y z (fractional)
Sc: 0.000 0.500 0.000
Sc: 0.500 0.000 0.000
V: 0.000 0.000 0.500
Au: 0.500 0.500 0.500
C: 0.000 0.000 0.000

Entry 4:
Computed, not measured: a geometry-optimized Y2ScAuC structure at the PBE level of DFT.

Output
* M_tot: 0.0 μB/cell
* SG: P4/mmm
* theoretical density: 6.7 g/cm³
* ΔE_f: -0.5183 eV/atom

abc: 4.925 4.925 4.401
angles: 90.00 90.00 90.00
Element x y z (fractional)
Y: 0.000 0.500 0.000
Y: 0.500 0.000 0.000
Sc: 0.000 0.000 0.500
Au: 0.500 0.500 0.500
C: 0.000 0.000 0.000

Entry 5:
Computed, not measured: a geometry-optimized YSc2AuC structure at the PBE level of DFT.

Output
* M_tot: 0.0 μB/cell
* SG: P4/mmm
* theoretical density: 6.5 g/cm³
* ΔE_f: -0.5752 eV/atom

abc: 4.459 4.459 4.968
angles: 90.00 90.00 90.00
Element x y z (fractional)
Y: 0.000 0.000 0.000
Sc: 0.000 0.500 0.500
Sc: 0.500 0.000 0.500
Au: 0.500 0.500 0.000
C: 0.000 0.000 0.500

Entry 6:
Computed, not measured: a geometry-optimized Sc2ZnAuC structure at the PBE level of DFT.

Output
* M_tot: 0.0 μB/cell
* SG: P4/mmm
* theoretical density: 7.3 g/cm³
* ΔE_f: -0.4475 eV/atom

abc: 4.550 4.550 3.978
angles: 90.00 90.00 90.00
Element x y z (fractional)
Sc: 0.000 0.500 0.000
Sc: 0.500 0.000 0.000
Zn: 0.000 0.000 0.500
Au: 0.500 0.500 0.500
C: 0.000 0.000 0.000

Entry 7:
Computed, not measured: a geometry-optimized Zr2ScAuC structure at the PBE level of DFT.

Output
* M_tot: 0.0 μB/cell
* SG: P4/mmm
* theoretical density: 7.9 g/cm³
* ΔE_f: -0.5651 eV/atom

abc: 4.537 4.537 4.459
angles: 90.00 90.00 90.00
Element x y z (fractional)
Zr: 0.000 0.500 0.000
Zr: 0.500 0.000 0.000
Sc: 0.000 0.000 0.500
Au: 0.500 0.500 0.500
C: 0.000 0.000 0.000

Entry 8:
Computed, not measured: a geometry-optimized Au2CSe structure at the PBE level of DFT.

Output
* M_tot: 0.0 μB/cell
* SG: I-42d
* theoretical density: 10.4 g/cm³
* raw formation energy: 0.96 eV per atom

abc: 7.120 7.120 7.120
angles: 138.76 138.76 59.74
Element x y z (fractional)
Au: 0.018 0.625 0.893
Au: 0.375 0.268 0.393
Au: 0.732 0.125 0.107
Au: 0.875 0.982 0.607
C: 0.000 0.000 0.000
C: 0.750 0.250 0.500
Se: 0.250 0.750 0.500
Se: 0.500 0.500 0.000

no.,calculated volume (A^3/atom),uncorrected energy (Ha/atom)
1,16.91,-0.2652
2,19.31,-0.2398
3,16.39,-0.2709
4,21.35,-0.2525
5,19.76,-0.2536
6,16.47,-0.2108
7,18.35,-0.2848
8,19.40,-0.1415